Record 1
The following is a PBE-GGA calculation of a geometry-optimized LiNbI2N structure, from Alexandria via LeMat-Bulk.

a b c (Å): 5.202 5.202 3.589
angles (deg): 90.00 90.00 90.00
Fractional coordinates of all 5 atoms:
I1 0.000 0.500 0.000
I2 0.500 0.000 0.000
N1 0.000 0.000 0.500
Li1 0.000 0.000 0.000
Nb1 0.500 0.500 0.500

Summary:
N(E_F) (states/eV/f.u.): 5.2
Formation energy without anion corrections (meV per atom): 1048
Space-group type: P4/mmm



Record 2
The following is a PBE-GGA calculation of a geometry-optimized LiNbI2N structure, from Alexandria via LeMat-Bulk.

a b c (Å): 5.839 5.839 3.965
angles (deg): 90.00 90.00 90.00
Last column: magnetic moment on the atom in μB.
Fractional coordinates of all 5 atoms:
Li1 0.500 0.500 0.500  0.01
Nb1 0.000 0.000 0.000  0.87
I1 0.500 0.000 0.000  0.00
I2 0.000 0.500 0.000  0.00
N1 0.000 0.000 0.500  -0.10

Summary:
N(E_F) (states/eV/f.u.): 1.4
Formation energy without anion corrections (meV per atom): -252
Space-group type: P4/mmm



Record 3
The following is a PBE-GGA calculation of a geometry-optimized LiNiIN2 structure, from Alexandria via LeMat-Bulk.

a b c (Å): 3.716 3.716 5.843
angles (deg): 90.00 90.00 90.00
Last column: magnetic moment on the atom in μB.
Fractional coordinates of all 5 atoms:
Ni1 0.500 0.500 0.500  0.52
Li1 0.000 0.000 0.000  0.01
N1 0.000 0.500 0.000  0.84
N2 0.500 0.000 0.000  0.84
I1 0.000 0.000 0.500  0.13

Summary:
N(E_F) (states/eV/f.u.): 4.0
Formation energy without anion corrections (meV per atom): 1740
Space-group type: P4/mmm



Record 4
The following is a PBE-GGA calculation of a geometry-optimized LiNiIN2 structure, from Alexandria via LeMat-Bulk.

a b c (Å): 3.620 3.620 8.065
angles (deg): 90.00 90.00 90.00
Last column: magnetic moment on the atom in μB.
Fractional coordinates of all 5 atoms:
Li1 0.500 0.500 0.500  0.00
Ni1 0.000 0.000 0.000  0.02
N1 0.500 0.000 0.000  0.16
N2 0.000 0.500 0.000  0.16
I1 0.000 0.000 0.500  0.00

Summary:
N(E_F) (states/eV/f.u.): 2.4
Formation energy without anion corrections (meV per atom): 768
Space-group type: P4/mmm



Record 5
The following is a PBE-GGA calculation of a geometry-optimized LiINO2 structure, from Alexandria via LeMat-Bulk.

a b c (Å): 3.503 3.503 7.135
angles (deg): 90.00 90.00 90.00
Last column: magnetic moment on the atom in μB.
Fractional coordinates of all 5 atoms:
O1 0.500 0.000 0.000  1.20
O2 0.000 0.500 0.000  1.20
Li1 0.000 0.000 0.000  -0.01
N1 0.500 0.500 0.500  0.22
I1 0.000 0.000 0.500  0.05

Summary:
N(E_F) (states/eV/f.u.): 3.1
Formation energy without anion corrections (meV per atom): 1002
Space-group type: P4/mmm



Record 6
The following is a PBE-GGA calculation of a geometry-optimized LiINO2 structure, from Alexandria via LeMat-Bulk.

a b c (Å): 4.102 4.102 3.993
angles (deg): 90.00 90.00 90.00
Fractional coordinates of all 5 atoms:
I1 0.000 0.000 0.000
O1 0.000 0.500 0.000
O2 0.500 0.000 0.000
N1 0.000 0.000 0.500
Li1 0.500 0.500 0.500

Summary:
N(E_F) (states/eV/f.u.): 2.4
Formation energy without anion corrections (meV per atom): 281
Space-group type: P4/mmm



Record 7
The following is a PBE-GGA calculation of a geometry-optimized LiINO2 structure, from Alexandria via LeMat-Bulk.

a b c (Å): 3.956 3.956 4.329
angles (deg): 90.00 90.00 90.00
Last column: magnetic moment on the atom in μB.
Fractional coordinates of all 5 atoms:
I1 0.000 0.000 0.500  0.11
N1 0.000 0.000 0.000  -0.20
O1 0.500 0.000 0.000  0.44
O2 0.000 0.500 0.000  0.44
Li1 0.500 0.500 0.500  0.00

Summary:
N(E_F) (states/eV/f.u.): 3.0
Formation energy without anion corrections (meV per atom): 895
Space-group type: P4/mmm



Record 8
The following is a PBE-GGA calculation of a geometry-optimized LiINO2 structure, from Alexandria via LeMat-Bulk.

a b c (Å): 3.686 3.686 3.955
angles (deg): 90.00 90.00 90.00
Last column: magnetic moment on the atom in μB.
Fractional coordinates of all 5 atoms:
O1 0.500 0.000 0.000  0.41
O2 0.000 0.500 0.000  0.41
N1 0.000 0.000 0.500  0.71
Li1 0.000 0.000 0.000  0.03
I1 0.500 0.500 0.500  -0.02

Summary:
N(E_F) (states/eV/f.u.): 2.5
Formation energy without anion corrections (meV per atom): 887
Space-group type: P4/mmm



Record 9
The following is a PBE-GGA calculation of a geometry-optimized LiOsIN2 structure, from Alexandria via LeMat-Bulk.

a b c (Å): 3.837 3.837 5.945
angles (deg): 90.00 90.00 90.00
Last column: magnetic moment on the atom in μB.
Fractional coordinates of all 5 atoms:
Os1 0.000 0.000 0.000  -0.04
Li1 0.500 0.500 0.500  0.00
I1 0.000 0.000 0.500  0.00
N1 0.500 0.000 0.000  0.11
N2 0.000 0.500 0.000  0.11

Summary:
N(E_F) (states/eV/f.u.): 2.8
Formation energy without anion corrections (meV per atom): 288
Space-group type: P4/mmm



Record 10
The following is a PBE-GGA calculation of a geometry-optimized LiOsIN2 structure, from Alexandria via LeMat-Bulk.

a b c (Å): 3.868 3.868 4.799
angles (deg): 90.00 90.00 90.00
Last column: magnetic moment on the atom in μB.
Fractional coordinates of all 5 atoms:
N1 0.500 0.000 0.000  -0.79
N2 0.000 0.500 0.000  -0.79
I1 0.000 0.000 0.500  -0.08
Os1 0.500 0.500 0.500  1.05
Li1 0.000 0.000 0.000  -0.01

Summary:
N(E_F) (states/eV/f.u.): 3.4
Formation energy without anion corrections (meV per atom): 2336
Space-group type: P4/mmm



Record 11
The following is a PBE-GGA calculation of a geometry-optimized LiPaIN2 structure, from Alexandria via LeMat-Bulk.

a b c (Å): 3.433 6.149 11.628
angles (deg): 83.86 90.00 90.00
Last column: magnetic moment on the atom in μB.
Fractional coordinates of all 10 atoms:
Li1 0.750 0.601 0.688  0.00
Li2 0.250 0.399 0.312  0.00
I1 0.250 0.773 0.867  0.08
I2 0.750 0.227 0.133  0.08
N1 0.250 0.118 0.418  0.00
N2 0.250 0.703 0.351  0.00
N3 0.750 0.882 0.582  0.00
N4 0.750 0.297 0.649  0.00
Pa1 0.750 0.896 0.383  0.00
Pa2 0.250 0.104 0.617  0.00

Summary:
N(E_F) (states/eV/f.u.): 4.0
Formation energy without anion corrections (meV per atom): -957
Space-group type: P2_1/m



Record 12
The following is a PBE-GGA calculation of a geometry-optimized LiPbI2N structure, from Alexandria via LeMat-Bulk.

a b c (Å): 6.354 6.354 4.567
angles (deg): 90.00 90.00 90.00
Last column: magnetic moment on the atom in μB.
Fractional coordinates of all 5 atoms:
I1 0.500 0.000 0.000  0.04
I2 0.000 0.500 0.000  0.04
Pb1 0.000 0.000 0.000  0.00
Li1 0.500 0.500 0.500  0.00
N1 0.000 0.000 0.500  0.84

Summary:
N(E_F) (states/eV/f.u.): 3.4
Formation energy without anion corrections (meV per atom): 348
Space-group type: P4/mmm



Record 13
The following is a PBE-GGA calculation of a geometry-optimized LiPbI2N structure, from Alexandria via LeMat-Bulk.

a b c (Å): 5.735 5.735 4.086
angles (deg): 90.00 90.00 90.00
Last column: magnetic moment on the atom in μB.
Fractional coordinates of all 5 atoms:
I1 0.000 0.500 0.000  0.07
I2 0.500 0.000 0.000  0.07
N1 0.000 0.000 0.500  1.33
Li1 0.000 0.000 0.000  0.00
Pb1 0.500 0.500 0.500  -0.02

Summary:
N(E_F) (states/eV/f.u.): 1.5
Formation energy without anion corrections (meV per atom): 317
Space-group type: P4/mmm



Record 14
The following is a PBE-GGA calculation of a geometry-optimized Li2PrIN structure, from Alexandria via LeMat-Bulk.

a b c (Å): 3.707 8.970 7.213
angles (deg): 90.00 90.00 101.93
Last column: magnetic moment on the atom in μB.
Fractional coordinates of all 10 atoms:
N1 0.000 0.000 0.500  0.00
N2 0.000 0.000 0.000  0.00
Li1 0.118 0.236 0.995  0.02
Li2 0.882 0.764 0.005  0.02
Li3 0.882 0.764 0.495  0.02
Li4 0.118 0.236 0.505  0.02
Pr1 0.497 0.994 0.750  0.07
Pr2 0.503 0.006 0.250  0.07
I1 0.687 0.374 0.750  0.02
I2 0.313 0.626 0.250  0.02

Summary:
N(E_F) (states/eV/f.u.): 1.7
Formation energy without anion corrections (meV per atom): -782
Space-group type: Cmcm



Record 15
The following is a PBE-GGA calculation of a geometry-optimized RbLi2IN structure, from Alexandria via LeMat-Bulk.

a b c (Å): 4.544 6.257 4.544
angles (deg): 90.00 90.00 90.00
Fractional coordinates of all 5 atoms:
N1 0.000 0.000 0.000
Li1 0.000 0.000 0.500
Li2 0.500 0.000 0.000
Rb1 0.500 0.500 0.500
I1 0.000 0.500 0.000

Summary:
N(E_F) (states/eV/f.u.): 0.9
Formation energy without anion corrections (meV per atom): -37
Space-group type: P4/mmm



Record 16
The following is a PBE-GGA calculation of a geometry-optimized Li2RhIN structure, from Alexandria via LeMat-Bulk.

a b c (Å): 3.879 4.929 3.879
angles (deg): 90.00 90.00 90.00
Fractional coordinates of all 5 atoms:
I1 0.000 0.500 0.000
Rh1 0.500 0.500 0.500
Li1 0.000 0.000 0.500
Li2 0.500 0.000 0.000
N1 0.000 0.000 0.000

Summary:
N(E_F) (states/eV/f.u.): 2.8
Formation energy without anion corrections (meV per atom): 256
Space-group type: P4/mmm



Record 17
The following is a PBE-GGA calculation of a geometry-optimized LiSI2N structure, from Alexandria via LeMat-Bulk.

a b c (Å): 5.295 5.295 3.704
angles (deg): 90.00 90.00 90.00
Fractional coordinates of all 5 atoms:
Li1 0.000 0.000 0.000
I1 0.000 0.500 0.000
I2 0.500 0.000 0.000
N1 0.000 0.000 0.500
S1 0.500 0.500 0.500

Summary:
N(E_F) (states/eV/f.u.): 4.1
Formation energy without anion corrections (meV per atom): 1132
Space-group type: P4/mmm



Record 18
The following is a PBE-GGA calculation of a geometry-optimized LiSI2N structure, from Alexandria via LeMat-Bulk.

a b c (Å): 6.194 6.194 3.412
angles (deg): 90.00 90.00 90.00
Fractional coordinates of all 5 atoms:
S1 0.000 0.000 0.000
I1 0.000 0.500 0.000
I2 0.500 0.000 0.000
N1 0.000 0.000 0.500
Li1 0.500 0.500 0.500

Summary:
N(E_F) (states/eV/f.u.): 1.0
Formation energy without anion corrections (meV per atom): 372
Space-group type: P4/mmm



Record 19
The following is a PBE-GGA calculation of a geometry-optimized LiS2IN structure, from Alexandria via LeMat-Bulk.

a b c (Å): 5.191 5.191 4.030
angles (deg): 90.00 90.00 90.00
Fractional coordinates of all 5 atoms:
Li1 0.500 0.500 0.500
S1 0.000 0.500 0.000
S2 0.500 0.000 0.000
I1 0.000 0.000 0.000
N1 0.000 0.000 0.500

Summary:
N(E_F) (states/eV/f.u.): 5.3
Formation energy without anion corrections (meV per atom): 938
Space-group type: P4/mmm



Record 20
The following is a PBE-GGA calculation of a geometry-optimized LiSIN2 structure, from Alexandria via LeMat-Bulk.

a b c (Å): 4.120 4.120 5.473
angles (deg): 90.00 90.00 90.00
Last column: magnetic moment on the atom in μB.
Fractional coordinates of all 5 atoms:
N1 0.000 0.500 0.000  1.64
N2 0.500 0.000 0.000  1.64
I1 0.500 0.500 0.500  0.14
S1 0.000 0.000 0.500  0.15
Li1 0.000 0.000 0.000  0.04

Summary:
N(E_F) (states/eV/f.u.): 1.6
Formation energy without anion corrections (meV per atom): 1725
Space-group type: P4/mmm



Record 21
The following is a PBE-GGA calculation of a geometry-optimized LiSIN2 structure, from Alexandria via LeMat-Bulk.

a b c (Å): 4.075 4.075 6.384
angles (deg): 90.00 90.00 90.00
Last column: magnetic moment on the atom in μB.
Fractional coordinates of all 5 atoms:
N1 0.500 0.000 0.000  1.64
N2 0.000 0.500 0.000  1.64
I1 0.000 0.000 0.500  0.09
Li1 0.000 0.000 0.000  0.04
S1 0.500 0.500 0.500  0.14

Summary:
N(E_F) (states/eV/f.u.): 3.7
Formation energy without anion corrections (meV per atom): 1780
Space-group type: P4/mmm



Record 22
The following is a PBE-GGA calculation of a geometry-optimized LiSIN2 structure, from Alexandria via LeMat-Bulk.

a b c (Å): 3.575 3.575 8.239
angles (deg): 90.00 90.00 90.00
Fractional coordinates of all 5 atoms:
Li1 0.500 0.500 0.500
N1 0.500 0.000 0.000
N2 0.000 0.500 0.000
I1 0.000 0.000 0.500
S1 0.000 0.000 0.000

Summary:
N(E_F) (states/eV/f.u.): 2.3
Formation energy without anion corrections (meV per atom): 998
Space-group type: P4/mmm



Record 23
The following is a PBE-GGA calculation of a geometry-optimized LiSIN2 structure, from Alexandria via LeMat-Bulk.

a b c (Å): 4.011 4.011 5.328
angles (deg): 90.00 90.00 90.00
Last column: magnetic moment on the atom in μB.
Fractional coordinates of all 5 atoms:
Li1 0.500 0.500 0.500  0.00
N1 0.000 0.500 0.000  0.13
N2 0.500 0.000 0.000  0.13
I1 0.000 0.000 0.000  -0.02
S1 0.000 0.000 0.500  0.06

Summary:
N(E_F) (states/eV/f.u.): 4.1
Formation energy without anion corrections (meV per atom): 1404
Space-group type: P4/mmm



Record 24
The following is a PBE-GGA calculation of a geometry-optimized LiS2IN structure, from Alexandria via LeMat-Bulk.

a b c (Å): 4.790 4.790 3.671
angles (deg): 90.00 90.00 90.00
Fractional coordinates of all 5 atoms:
S1 0.000 0.500 0.000
S2 0.500 0.000 0.000
Li1 0.000 0.000 0.000
I1 0.500 0.500 0.500
N1 0.000 0.000 0.500

Summary:
N(E_F) (states/eV/f.u.): 5.0
Formation energy without anion corrections (meV per atom): 1222
Space-group type: P4/mmm



Record 25
The following is a PBE-GGA calculation of a geometry-optimized LiSbIN2 structure, from Alexandria via LeMat-Bulk.

a b c (Å): 4.057 4.057 7.036
angles (deg): 90.00 90.00 90.00
Last column: magnetic moment on the atom in μB.
Fractional coordinates of all 5 atoms:
Sb1 0.000 0.000 0.000  -0.03
N1 0.000 0.500 0.000  0.38
N2 0.500 0.000 0.000  0.38
I1 0.000 0.000 0.500  -0.01
Li1 0.500 0.500 0.500  0.00

Summary:
N(E_F) (states/eV/f.u.): 1.7
Formation energy without anion corrections (meV per atom): 714
Space-group type: P4/mmm



Record 26
The following is a PBE-GGA calculation of a geometry-optimized LiSbIN2 structure, from Alexandria via LeMat-Bulk.

a b c (Å): 4.396 4.396 5.123
angles (deg): 90.00 90.00 90.00
Last column: magnetic moment on the atom in μB.
Fractional coordinates of all 5 atoms:
N1 0.000 0.500 0.000  1.33
N2 0.500 0.000 0.000  1.33
Sb1 0.500 0.500 0.500  -0.29
I1 0.000 0.000 0.500  0.10
Li1 0.000 0.000 0.000  0.00

Summary:
N(E_F) (states/eV/f.u.): 2.6
Formation energy without anion corrections (meV per atom): 1610
Space-group type: P4/mmm



Record 27
The following is a PBE-GGA calculation of a geometry-optimized LiSeI2N structure, from Alexandria via LeMat-Bulk.

a b c (Å): 6.072 6.072 3.742
angles (deg): 90.00 90.00 90.00
Fractional coordinates of all 5 atoms:
I1 0.000 0.500 0.000
I2 0.500 0.000 0.000
Se1 0.000 0.000 0.000
N1 0.000 0.000 0.500
Li1 0.500 0.500 0.500

Summary:
N(E_F) (states/eV/f.u.): 1.5
Formation energy without anion corrections (meV per atom): 365
Space-group type: P4/mmm



Record 28
The following is a PBE-GGA calculation of a geometry-optimized LiSe2IN structure, from Alexandria via LeMat-Bulk.

a b c (Å): 5.578 5.578 4.001
angles (deg): 90.00 90.00 90.00
Last column: magnetic moment on the atom in μB.
Fractional coordinates of all 5 atoms:
N1 0.000 0.000 0.500  0.24
I1 0.000 0.000 0.000  -0.03
Se1 0.500 0.000 0.000  0.20
Se2 0.000 0.500 0.000  0.20
Li1 0.500 0.500 0.500  0.00

Summary:
N(E_F) (states/eV/f.u.): 4.3
Formation energy without anion corrections (meV per atom): 880
Space-group type: P4/mmm



Computed values of size of the total moment (unit: μB/f.u.) for the preceding records, in sequence: 0.0; 1.0; 3.1; 0.5; 3.3; 0.0; 0.9; 1.9; 0.3; 1.1; 0.1; 1.4; 2.2; 0.5; 0.0; 0.0; 0.0; 0.0; 0.0; 5.4; 5.3; 0.0; 0.4; 0.0; 1.0; 3.4; 0.0; 0.9.